The following is a DFT calculation (GGA-PBE) of an optimized crystal structure of InCu3Os.

Relative energy among the computed polymorphs ... 0.0 meV per atom
Symmetry ... Pm-3m, No. 221

Cell: 4.6870 4.6870 4.6870 Å, 90.00 90.00 90.00°
Element x y z (fractional)
In (0.5000, 0.5000, 0.5000)
Cu (0.5000, 0.0000, 0.0000)
Cu (0.0000, 0.0000, 0.5000)
Cu (0.0000, 0.5000, 0.0000)
Os (0.0000, 0.0000, 0.0000)



The following is a DFT calculation (GGA-PBE) of an optimized crystal structure of FeH3W.

Relative energy among the computed polymorphs ... 242.2 meV per atom
Symmetry ... Pm-3m, No. 221

Cell: 3.4681 3.4681 3.4681 Å, 90.00 90.00 90.00°
Each line ends with the local moment (μB).
Element x y z (fractional)
H (0.0000, 0.5000, 0.0000)  0.01
W (0.0000, 0.0000, 0.0000)  0.10
Fe (0.5000, 0.5000, 0.5000)  3.02
H (0.0000, 0.0000, 0.5000)  0.01
H (0.5000, 0.0000, 0.0000)  0.03



| no. | magnetic moment (μB/f.u.) |
| --- | --- |
| 1 | 0.000 |
| 2 | 3.285 |